# 1
Crystalline Sc3HgO at its relaxed geometry, computed with PBE.

Calculated values
Energy ... -6.11 eV/atom
Uncorrected formation energy ... -1255 meV per atom
Space-group type ... Amm2 (38)

abc: 3.356 5.681 5.681
angles: 110.01 90.00 90.00
Fractional positions:
O 0.500 0.020 0.980
Sc 0.500 0.642 0.841
Sc 0.500 0.159 0.358
Sc 0.000 0.154 0.846
Hg 0.000 0.653 0.347



# 2
Crystalline Tb4W at its relaxed geometry, computed with PBE.

Calculated values
Energy ... -5.76 eV/atom
Space-group type ... Pm-3m (221)
DFT formation energy ... 0.53 eV per atom

abc: 5.480 5.480 5.480
angles: 90.00 90.00 90.00
Fractional positions:
Tb 0.000 0.500 0.500
Tb 0.500 0.500 0.000
Tb 0.000 0.000 0.000
Tb 0.500 0.000 0.500
W 0.500 0.500 0.500



# 3
Crystalline Ce2HoPa at its relaxed geometry, computed with PBE.

Calculated values
Energy ... -6.13 eV/atom
Space-group type ... Fm-3m (225)
DFT formation energy ... 0.35 eV per atom

abc: 5.380 5.380 5.380
angles: 60.00 60.00 60.00
Site moments in Bohr magnetons follow the coordinates.
Fractional positions:
Pa 0.000 0.000 0.000  0.26
Ho 0.500 0.500 0.500  0.02
Ce 0.250 0.250 0.250  0.17
Ce 0.750 0.750 0.750  0.17



# 4
Crystalline NaHgAsPt2 at its relaxed geometry, computed with PBE.

Calculated values
Energy ... -2.48 eV/atom
Space-group type ... P4/mmm (123)
DFT formation energy ... 1.19 eV per atom

abc: 4.779 4.733 4.779
angles: 90.00 90.00 90.00
Fractional positions:
Hg 0.500 0.500 0.500
Pt 0.500 0.000 0.000
Pt 0.000 0.000 0.500
Na 0.000 0.000 0.000
As 0.000 0.500 0.000



# 5
Crystalline LaGa2Sb at its relaxed geometry, computed with PBE.

Calculated values
Energy ... -4.37 eV/atom
Uncorrected formation energy ... -597 meV per atom
Space-group type ... P4/mmm (123)

abc: 4.520 4.652 4.652
angles: 90.00 90.00 90.00
Fractional positions:
Sb 0.500 0.500 0.500
Ga 0.000 0.000 0.500
Ga 0.000 0.500 0.000
La 0.500 0.000 0.000